This record from Alexandria describes a relaxed structure of Th3Tl2Tc. The functional is PBE.

Output
**Volume**: 30.252 A^3/atom
**Density**: 11.00 g/cm3
**DFT formation energy**: -1.28 kcal/mol of atoms
**Total magnetization**: 0.0 μB per formula unit

Lattice parameters (Å, degrees): 7.9637 11.3132 8.2025 90.00 100.74 90.00
Last column: nearest neighbours and their distance in Å.
Space group C2/m (No. 12)
One atom of each set of equivalent atoms:
1 Th 0.1751 0.0000 0.1739 (multiplicity 4)  2 Tc 2.88, 1 Tl 3.18
2 Th 0.2254 0.1827 0.7763 (multiplicity 8)  2 Tc 2.80-2.91
3 Tl 0.0000 0.0000 0.5000 (multiplicity 2)  6 Th 3.24-3.33
4 Tl 0.0000 0.3669 0.5000 (multiplicity 4)  1 Tl 3.01, 2 Th 3.34
5 Tl 0.0000 0.5000 0.0000 (multiplicity 2)  6 Th 3.18-3.31, 2 Tc 3.41
6 Tc 0.0000 0.1983 0.0000 (multiplicity 4)  6 Th 2.80-2.91